No. 1
Below is PmNd2Ga after structural relaxation, with properties calculated at the PBE level.

The structure in POSCAR format:
```
PmNd2Ga
1.0
3.742 0.000 0.000
1.871 3.240 0.000
1.871 1.080 10.475
Pm Nd Ga
1 2 1
Cartesian
3.742 2.160 5.228
1.871 1.080 8.263
1.871 1.080 2.211
3.742 2.160 0.010
```

Values from the calculation:
Distance to the lowest polymorph of the same formula ... 88.5 meV/atom
DFT total energy ... -4.4860 eV/atom


No. 2
Below is Pm2NdGa4 after structural relaxation, with properties calculated at the PBE level.

The structure in POSCAR format:
```
Pm2NdGa4
1.0
4.111 0.000 -0.937
-0.227 4.266 -0.997
0.080 0.046 9.835
Nd Ga Pm
1 4 2
Cartesian
2.056 0.000 -0.469
2.522 2.758 1.575
1.442 1.555 6.325
0.154 2.421 0.674
3.810 1.891 7.226
3.220 3.510 4.637
0.744 0.802 3.264
```

Values from the calculation:
DFT total energy ... -4.4094 eV/atom


No. 3
Below is PmNd2Ga after structural relaxation, with properties calculated at the PBE level.

The structure in POSCAR format:
```
PmNd2Ga
1.0
-2.084 -4.332 -0.675
2.115 -1.647 4.039
-3.833 1.440 2.594
Nd Ga Pm
2 1 1
Cartesian
-1.917 0.720 1.297
1.057 -0.823 2.019
-1.042 -2.166 -0.338
-1.901 -2.270 2.979
```

Values from the calculation:
Distance to the lowest polymorph of the same formula ... 11.5 meV/atom
DFT total energy ... -4.5629 eV/atom


No. 4
Below is Pm3NdGa after structural relaxation, with properties calculated at the PBE level.

The structure in POSCAR format:
```
Pm3NdGa
1.0
-2.678 1.562 2.135
-4.868 1.272 -7.048
-1.361 -9.622 2.005
Pm Nd Ga
6 2 2
Cartesian
-6.817 -2.494 -4.273
-2.968 -5.961 -0.229
-3.259 0.332 -1.858
-5.148 -5.628 -3.202
-5.165 0.835 -4.649
-4.637 -2.828 -1.301
-3.769 -7.291 3.072
-1.149 -2.436 -0.527
-3.756 -1.942 -4.158
-6.028 -6.512 -0.345
```

Values from the calculation:
Distance to the lowest polymorph of the same formula ... 0.0 meV/atom
DFT total energy ... -4.6126 eV/atom


No. 5
Below is PmNd2Ga after structural relaxation, with properties calculated at the PBE level.

The structure in POSCAR format:
```
PmNd2Ga
1.0
5.480 0.000 0.000
2.740 4.746 0.000
2.740 1.582 4.474
Nd Ga Pm
2 1 1
Cartesian
2.740 1.582 1.119
8.220 4.746 3.356
5.480 3.164 2.237
0.000 0.000 0.000
```

Values from the calculation:
Distance to the lowest polymorph of the same formula ... 178.6 meV/atom
DFT total energy ... -4.3958 eV/atom


No. 6
Below is Pm6NdGa2 after structural relaxation, with properties calculated at the PBE level.

The structure in POSCAR format:
```
Pm6NdGa2
1.0
1.891 6.387 0.130
-1.891 6.387 0.130
0.000 3.902 11.450
Pm Nd Ga
6 1 2
Cartesian
0.000 9.335 1.626
0.000 7.342 10.084
0.000 6.291 6.820
0.000 13.719 3.960
0.000 2.957 7.749
0.000 10.385 4.889
0.000 0.000 0.000
0.000 5.282 2.438
0.000 11.394 9.271
```

Values from the calculation:
DFT total energy ... -4.6048 eV/atom


No. 7
Below is PmNd3Ga after structural relaxation, with properties calculated at the PBE level.

The structure in POSCAR format:
```
PmNd3Ga
1.0
-3.059 -1.343 1.751
4.508 -7.035 2.466
2.962 6.982 6.459
Pm Nd Ga
2 6 2
Cartesian
0.468 4.695 7.439
1.486 0.816 2.161
3.755 -4.018 6.482
2.706 2.494 5.584
0.852 -2.862 2.324
4.715 -0.440 6.848
2.647 -5.644 3.283
1.747 -1.084 5.217
3.886 -2.738 3.628
2.574 1.214 8.437
```

Values from the calculation:
Distance to the lowest polymorph of the same formula ... 0.0 meV/atom
DFT total energy ... -4.6128 eV/atom


No. 8
Below is PmNd3Ga4 after structural relaxation, with properties calculated at the PBE level.

The structure in POSCAR format:
```
PmNd3Ga4
1.0
-2.813 2.056 -1.214
-1.278 0.287 3.449
8.067 12.204 1.975
Nd Ga Pm
3 4 1
Cartesian
-0.036 4.211 1.610
1.988 7.273 2.105
4.012 10.335 2.601
7.075 10.702 1.732
0.992 1.501 0.243
3.022 4.572 0.740
5.045 7.632 1.235
-2.046 1.171 1.118
```

Values from the calculation:
Distance to the lowest polymorph of the same formula ... 0.0 meV/atom
DFT total energy ... -4.4566 eV/atom


No. 9
Below is PmNd3Ga4 after structural relaxation, with properties calculated at the PBE level.

The structure in POSCAR format:
```
PmNd3Ga4
1.0
3.729 0.000 0.000
0.000 6.889 -0.807
-1.864 -2.449 8.888
Pm Nd Ga
1 3 4
Cartesian
1.864 0.000 0.000
0.000 3.444 -0.403
0.000 0.403 3.427
1.864 4.037 4.654
0.000 2.046 6.135
1.864 2.394 1.946
1.864 5.012 1.640
0.000 -0.573 6.441
```

Values from the calculation:
Distance to the lowest polymorph of the same formula ... 132.5 meV/atom
DFT total energy ... -4.3241 eV/atom


No. 10
Below is Pm4Nd3Ga after structural relaxation, with properties calculated at the PBE level.

The structure in POSCAR format:
```
Pm4Nd3Ga
1.0
-1.194 3.454 -0.119
-0.403 -0.264 -3.625
-18.233 -6.220 2.478
Nd Ga Pm
3 1 4
Cartesian
-5.020 0.155 -1.298
-9.915 -1.515 -0.633
-14.810 -3.184 0.032
-0.798 1.595 -1.872
-16.507 -5.631 2.243
-1.726 -0.589 0.235
-6.656 -2.271 0.905
-11.576 -3.949 1.573
```

Values from the calculation:
DFT total energy ... -4.6618 eV/atom


No. 11
Below is Pm3NdGa4 after structural relaxation, with properties calculated at the PBE level.

The structure in POSCAR format:
```
Pm3NdGa4
1.0
5.195 0.000 0.000
0.000 7.359 0.000
0.000 0.000 10.389
Nd Ga Pm
2 8 6
Cartesian
0.000 3.679 0.000
0.000 3.679 5.195
2.597 5.530 0.000
2.597 5.530 5.195
2.597 1.829 0.000
2.597 1.829 5.195
0.006 5.530 7.792
5.189 5.530 2.597
5.189 1.829 2.597
0.006 1.829 7.792
0.000 0.000 0.000
0.000 0.000 5.195
2.601 0.000 7.792
2.593 0.000 2.597
2.602 3.679 7.792
2.593 3.679 2.597
```

Values from the calculation:
DFT total energy ... -4.4565 eV/atom


No. 12
Below is Pm3Nd3Ga2 after structural relaxation, with properties calculated at the PBE level.

The structure in POSCAR format:
```
Pm3Nd3Ga2
1.0
-1.183 -3.818 -0.573
4.055 -1.858 4.007
-5.564 -1.795 9.257
Pm Nd Ga
3 3 2
Cartesian
-1.910 -1.878 2.247
1.436 -2.838 1.717
-0.781 -5.593 10.444
-0.930 -4.643 4.425
-1.761 -2.827 8.266
0.000 0.000 0.000
-0.111 -5.352 7.461
-2.580 -2.118 5.229
```

Values from the calculation:
DFT total energy ... -4.5230 eV/atom


no.,calculated volume (Å³/cell),ΔE_f (kJ/mol of formula units)
1,127.0,-61
2,173.0,-433
3,114.1,-91
4,308.7,-98
5,116.4,-26
6,274.7,-204
7,312.5,-95
8,201.0,-433
9,220.9,-331
10,259.7,-93
11,397.2,-437
12,250.3,-152